The following is a PBE+U calculation of a relaxed Sc3MoF crystal, from Alexandria.

Values from the calculation:
ΔE to the lowest computed polymorph = 1076.0 meV per atom
symmetry = Pm-3m
V = 135.4 Å³ per cell
DOS(E_F) = 0.83 states/eV/atom
magnetization = 1.61 μB per formula unit
final energy = -25.6 eV per cell

```
Sc3MoF
1.0
5.1344 0.0000 0.0000
0.0000 5.1344 0.0000
0.0000 0.0000 5.1344
Sc Mo F
3 1 1
Cartesian
0.0000 0.0000 2.5672
0.0000 2.5672 0.0000
2.5672 0.0000 0.0000
0.0000 0.0000 0.0000
2.5672 2.5672 2.5672
```